# PBE K2LiCrBr6, optimized geometry
data_K2LiCrBr6
_chemical_formula_sum 'K4 Li2 Cr2 Br12'
_cell_length_a 7.362
_cell_length_b 7.471
_cell_length_c 12.809
_cell_angle_alpha 90.00
_cell_angle_beta 125.03
_cell_angle_gamma 90.00
_space_group_name_H-M_alt 'P 1 21/c 1'
_space_group_IT_number 14
_space_group_name_Hall '-P 2ybc'
loop_
_atom_site_label
_atom_site_fract_x
_atom_site_fract_y
_atom_site_fract_z
K1 0.236 0.054 0.250
Li1 0.000 0.000 0.500
Cr1 0.500 0.000 0.000
Br1 0.187 0.197 0.966
Br2 0.275 0.721 0.969
Br3 0.327 0.003 0.762
# * uncorrected formation energy: -1.2909 eV per atom

***

# PBE RbPa2GeN5, optimized geometry
data_RbPa2GeN5
_chemical_formula_sum 'Rb4 Pa8 Ge4 N20'
_cell_length_a 6.757
_cell_length_b 6.757
_cell_length_c 11.391
_cell_angle_alpha 90.00
_cell_angle_beta 90.00
_cell_angle_gamma 90.00
_space_group_name_H-M_alt 'I 4/m c m'
_space_group_IT_number 140
_space_group_name_Hall '-I 4 2c'
loop_
_atom_site_label
_atom_site_fract_x
_atom_site_fract_y
_atom_site_fract_z
Rb1 0.000 0.000 0.250
Pa1 0.191 0.309 0.000
Ge1 0.000 0.500 0.250
N1 0.000 0.000 0.000
N2 0.137 0.363 0.371
# * uncorrected formation energy: -0.8463 eV per atom

***

# PBE K2InW, optimized geometry
data_K2InW
_chemical_formula_sum 'K4 In2 W2'
_cell_length_a 4.876
_cell_length_b 6.075
_cell_length_c 9.870
_cell_angle_alpha 90.00
_cell_angle_beta 90.00
_cell_angle_gamma 90.00
_space_group_name_H-M_alt 'I m m 2'
_space_group_IT_number 44
_space_group_name_Hall 'I 2 -2'
loop_
_atom_site_label
_atom_site_fract_x
_atom_site_fract_y
_atom_site_fract_z
K1 0.000 0.000 0.000
K2 0.000 0.500 0.197
In1 0.000 0.500 0.782
W1 0.000 0.000 0.404
# * calculated formation energy: 1.18 eV per atom

***

# PBE Sc2TcRh, optimized geometry
data_Sc2TcRh
_chemical_formula_sum 'Sc6 Tc3 Rh3'
_cell_length_a 3.0839
_cell_length_b 3.0839
_cell_length_c 26.7198
_cell_angle_alpha 90.00
_cell_angle_beta 90.00
_cell_angle_gamma 120.00
_space_group_name_H-M_alt 'R -3 m'
_space_group_IT_number 166
_space_group_name_Hall '-R 3 2"'
loop_
_atom_site_label
_atom_site_fract_x
_atom_site_fract_y
_atom_site_fract_z
Sc1 0.0000 0.0000 0.0913
Tc1 0.0000 0.0000 0.5000
Rh1 0.0000 0.0000 0.0000
# * calculated formation energy: 0.01 eV per atom

***

# PBE TiAsI2N, optimized geometry
data_TiAsI2N
_chemical_formula_sum 'Ti1 As1 I2 N1'
_cell_length_a 5.927
_cell_length_b 5.927
_cell_length_c 3.687
_cell_angle_alpha 90.00
_cell_angle_beta 90.00
_cell_angle_gamma 90.00
_space_group_name_H-M_alt 'P 4/m m m'
_space_group_IT_number 123
_space_group_name_Hall '-P 4 2'
loop_
_atom_site_label
_atom_site_fract_x
_atom_site_fract_y
_atom_site_fract_z
Ti1 0.000 0.000 0.000
As1 0.500 0.500 0.500
I1 0.000 0.500 0.500
N1 0.500 0.500 0.000
# * uncorrected formation energy: 0.7686 eV per atom
# * polymorph energy (0 for the lowest one): 0.553 eV/atom

***

# PBE LaPmS2, optimized geometry
data_LaPmS2
_chemical_formula_sum 'La2 Pm2 S4'
_cell_length_a 7.084
_cell_length_b 4.104
_cell_length_c 7.084
_cell_angle_alpha 90.00
_cell_angle_beta 109.59
_cell_angle_gamma 90.00
_space_group_name_H-M_alt 'C 1 2/m 1'
_space_group_IT_number 12
_space_group_name_Hall '-C 2y'
loop_
_atom_site_label
_atom_site_fract_x
_atom_site_fract_y
_atom_site_fract_z
La1 0.000 0.000 0.000
Pm1 0.000 0.500 0.500
S1 0.247 0.000 0.742
# * uncorrected formation energy: -2.1070 eV per atom
# * polymorph energy (0 for the lowest one): 0.000 eV/atom

***

# PBE Ca4Tl3Pb2, optimized geometry
data_Ca4Tl3Pb2
_chemical_formula_sum 'Ca8 Tl6 Pb4'
_cell_length_a 9.361
_cell_length_b 5.402
_cell_length_c 10.865
_cell_angle_alpha 90.00
_cell_angle_beta 90.04
_cell_angle_gamma 90.00
_space_group_name_H-M_alt 'C 1 2/m 1'
_space_group_IT_number 12
_space_group_name_Hall '-C 2y'
loop_
_atom_site_label
_atom_site_fract_x
_atom_site_fract_y
_atom_site_fract_z
Ca1 0.000 0.000 0.175
Ca2 0.167 0.500 0.389
Tl1 0.000 0.000 0.500
Tl2 0.167 0.500 0.036
Pb1 0.167 0.500 0.707
# * calculated formation energy: -0.40 eV per atom

***

# PBE Mn2HPdRu, optimized geometry
data_Mn2HPdRu
_chemical_formula_sum 'Mn2 H1 Pd1 Ru1'
_cell_length_a 3.850
_cell_length_b 3.850
_cell_length_c 3.767
_cell_angle_alpha 90.00
_cell_angle_beta 90.00
_cell_angle_gamma 90.00
_space_group_name_H-M_alt 'P 4/m m m'
_space_group_IT_number 123
_space_group_name_Hall '-P 4 2'
loop_
_atom_site_label
_atom_site_fract_x
_atom_site_fract_y
_atom_site_fract_z
Mn1 0.000 0.500 0.000
H1 0.000 0.000 0.000
Pd1 0.000 0.000 0.500
Ru1 0.500 0.500 0.500
# * polymorph energy (0 for the lowest one): 0.000 eV/atom

***

# PBE La6CoIr2Au, optimized geometry
data_La6CoIr2Au
_chemical_formula_sum 'La6 Co1 Ir2 Au1'
_cell_length_a 7.255
_cell_length_b 7.255
_cell_length_c 7.910
_cell_angle_alpha 90.05
_cell_angle_beta 117.27
_cell_angle_gamma 119.93
_space_group_name_H-M_alt 'P 1'
_space_group_IT_number 1
_space_group_name_Hall 'P 1'
loop_
_atom_site_label
_atom_site_fract_x
_atom_site_fract_y
_atom_site_fract_z
La1 0.000 0.000 0.000
La2 0.004 0.820 0.478
La3 0.307 0.467 0.479
La4 0.367 0.651 0.000
La5 0.650 0.283 0.000
La6 0.661 0.123 0.478
Co1 0.829 0.056 0.235
Ir1 0.492 0.888 0.730
Ir2 0.509 0.396 0.256
Au1 0.835 0.559 0.744
# * calculated formation energy: -0.51 eV per atom

***

# PBE Tm4CoCu, optimized geometry
data_Tm4CoCu
_chemical_formula_sum 'Tm16 Co4 Cu4'
_cell_length_a 9.081
_cell_length_b 9.081
_cell_length_c 7.807
_cell_angle_alpha 90.00
_cell_angle_beta 90.00
_cell_angle_gamma 90.00
_space_group_name_H-M_alt 'I 41 m d'
_space_group_IT_number 109
_space_group_name_Hall 'I 4bw -2'
loop_
_atom_site_label
_atom_site_fract_x
_atom_site_fract_y
_atom_site_fract_z
Tm1 0.000 0.292 0.000
Tm2 0.000 0.303 0.475
Co1 0.000 0.000 0.984
Cu1 0.000 0.000 0.491
# * calculated formation energy: -0.04 eV per atom
# * polymorph energy (0 for the lowest one): 0.126 eV/atom

***

# PBE La4Tm3PuTe8, optimized geometry
data_La4Tm3PuTe8
_chemical_formula_sum 'La12 Tm9 Pu3 Te24'
_cell_length_a 8.8607
_cell_length_b 8.8607
_cell_length_c 22.1018
_cell_angle_alpha 90.00
_cell_angle_beta 90.00
_cell_angle_gamma 120.00
_space_group_name_H-M_alt 'R -3 m'
_space_group_IT_number 166
_space_group_name_Hall '-R 3 2"'
loop_
_atom_site_label
_atom_site_fract_x
_atom_site_fract_y
_atom_site_fract_z
La1 0.0000 0.0000 0.0000
La2 0.0000 0.5000 0.0000
Tm1 0.0000 0.5000 0.5000
Pu1 0.0000 0.0000 0.5000
Te1 0.0000 0.0000 0.2428
Te2 0.0047 0.5023 0.7561
# * uncorrected formation energy: -1.3830 eV per atom

***

# PBE ZrReSi, optimized geometry
data_ZrReSi
_chemical_formula_sum 'Zr4 Re4 Si4'
_cell_length_a 3.848
_cell_length_b 9.871
_cell_length_c 5.314
_cell_angle_alpha 90.00
_cell_angle_beta 90.00
_cell_angle_gamma 90.00
_space_group_name_H-M_alt 'C m c m'
_space_group_IT_number 63
_space_group_name_Hall '-C 2c 2'
loop_
_atom_site_label
_atom_site_fract_x
_atom_site_fract_y
_atom_site_fract_z
Zr1 0.000 0.199 0.250
Re1 0.000 0.500 0.000
Si1 0.000 0.098 0.750
# * uncorrected formation energy: -0.6474 eV per atom

***

Going through the records in order, we get magnetic moment values of 6.0, 0.0, 6.1, 0.0, 2.5, 0.0, 0.0, 4.6, 0.0, 0.0, 18.1, 0.0 μB per cell.
Going through the records in order, we get mass density values of 3.55, 8.81, 4.28, 6.58, 5.01, 5.96, 7.18, 9.47, 7.99, 8.23, 7.71, 10.05 g/cm3.